Material: Mg2CdGa5
Method: DFT, GGA-PBE
State: relaxed

Results
calculated total energy: -2.482 eV/atom
M_tot: 0.00 μB per formula unit

```
data_Mg2CdGa5
_chemical_formula_sum 'Mg4 Cd2 Ga10'
_symmetry_space_group_name_H-M 'P b a m'
_symmetry_Int_Tables_number 55
_symmetry_space_group_name_Hall '-P 2 2ab'
_cell_length_a 6.095
_cell_length_b 11.708
_cell_length_c 4.317
_cell_angle_alpha 90.00
_cell_angle_beta 90.00
_cell_angle_gamma 90.00
loop_
_atom_site_label
_atom_site_type_symbol
_atom_site_fract_x
_atom_site_fract_y
_atom_site_fract_z
Mg1 Mg 0.240 0.127 0.000
Cd1 Cd 0.000 0.500 0.500
Ga1 Ga 0.000 0.000 0.500
Ga2 Ga 0.005 0.751 0.500
Ga3 Ga 0.249 0.873 0.000
```



Material: Mg3Cd5Ga
Method: DFT, GGA-PBE
State: relaxed

Results
calculated total energy: -1.316 eV/atom
M_tot: 0.00 μB per formula unit

```
data_Mg3Cd5Ga
_chemical_formula_sum 'Mg12 Cd20 Ga4'
_symmetry_space_group_name_H-M 'I 4/m c m'
_symmetry_Int_Tables_number 140
_symmetry_space_group_name_Hall '-I 4 2c'
_cell_length_a 8.710
_cell_length_b 8.710
_cell_length_c 11.229
_cell_angle_alpha 90.00
_cell_angle_beta 90.00
_cell_angle_gamma 90.00
loop_
_atom_site_label
_atom_site_type_symbol
_atom_site_fract_x
_atom_site_fract_y
_atom_site_fract_z
Mg1 Mg 0.000 0.000 0.250
Mg2 Mg 0.114 0.386 0.000
Cd1 Cd 0.000 0.000 0.000
Cd2 Cd 0.194 0.306 0.365
Ga1 Ga 0.000 0.500 0.250
```



Material: Mg7Cd2Ga2
Method: DFT, GGA-PBE
State: relaxed

Results
M_tot: 0.00 μB per formula unit
energy above the most stable polymorph in this dataset: 0 meV per atom

```
data_Mg7Cd2Ga2
_chemical_formula_sum 'Mg14 Cd4 Ga4'
_symmetry_space_group_name_H-M 'I m m 2'
_symmetry_Int_Tables_number 44
_symmetry_space_group_name_Hall 'I 2 -2'
_cell_length_a 4.562
_cell_length_b 13.615
_cell_length_c 7.548
_cell_angle_alpha 90.00
_cell_angle_beta 90.00
_cell_angle_gamma 90.00
loop_
_atom_site_label
_atom_site_type_symbol
_atom_site_fract_x
_atom_site_fract_y
_atom_site_fract_z
Mg1 Mg 0.000 0.000 0.000
Mg2 Mg 0.000 0.151 0.681
Mg3 Mg 0.000 0.336 0.453
Mg4 Mg 0.000 0.353 0.882
Cd1 Cd 0.000 0.000 0.391
Cd2 Cd 0.000 0.500 0.195
Ga1 Ga 0.000 0.195 0.165
```



Material: MgCd2Ga
Method: DFT, GGA-PBE
State: relaxed

Results
M_tot: 0.00 μB per formula unit
energy above the most stable polymorph in this dataset: 0 meV per atom

```
data_MgCd2Ga
_chemical_formula_sum 'Mg1 Cd2 Ga1'
_symmetry_space_group_name_H-M 'P 4/m m m'
_symmetry_Int_Tables_number 123
_symmetry_space_group_name_Hall '-P 4 2'
_cell_length_a 4.313
_cell_length_b 4.313
_cell_length_c 4.508
_cell_angle_alpha 90.00
_cell_angle_beta 90.00
_cell_angle_gamma 90.00
loop_
_atom_site_label
_atom_site_type_symbol
_atom_site_fract_x
_atom_site_fract_y
_atom_site_fract_z
Mg1 Mg 0.000 0.000 0.000
Cd1 Cd 0.000 0.500 0.500
Ga1 Ga 0.500 0.500 0.000
```



- M_tot of number 3 (Mg7Cd2Ga2)?
  0.00 μB per formula unit



- Which formula does entry 4 have?
  MgCd2Ga



- Look up the M_tot of the first one.
  0.00 μB per formula unit